P.
Be2CrB2 | GGA-PBE | relaxed

a b c (Å): 5.5884 5.5884 2.4758
angles (deg): 90.00 90.00 90.00
Closest atoms and distances in Å follow each position.
Atoms (fractional coordinates):
Cr1 0.0000 0.0000 0.0000  4 B 2.26, 8 Be 2.39, 2 Cr 2.48
Cr2 0.5000 0.5000 0.0000  4 B 2.26, 8 Be 2.39, 2 Cr 2.48
B1 0.3891 0.8891 0.0000  1 B 1.75
B2 0.8891 0.6109 0.0000  1 B 1.75
B3 0.6109 0.1109 0.0000  1 B 1.75
B4 0.1109 0.3891 0.0000  1 B 1.75
Be1 0.1827 0.6827 0.5000  6 B 2.05-2.09
Be2 0.6827 0.8173 0.5000  6 B 2.05-2.09
Be3 0.8173 0.3173 0.5000  6 B 2.05-2.09
Be4 0.3173 0.1827 0.5000  6 B 2.05-2.09

## Properties
* symmetry: P4/mbm
* mass density: 3.936 g/cm³
* volume: 77 Å³/cell
* total magnetic moment: 0.0 Bohr magnetons per cell

---

Q.
Be2CrB2 | GGA-PBE | relaxed

a b c (Å): 4.0276 4.1120 4.9098
angles (deg): 99.27 91.49 104.56
Closest atoms and distances in Å follow each position.
Atoms (fractional coordinates):
Cr1 0.7089 0.3144 0.5473  6 B 2.10-2.27
Cr2 0.2911 0.6856 0.4527  6 B 2.10-2.27
B1 0.4093 0.0539 0.8495  2 B 1.77-1.80
B2 0.5907 0.9461 0.1505  2 B 1.77-1.80
B3 0.1699 0.1716 0.5917  2 B 1.77-1.80, 2 Be 1.90-1.94
B4 0.8301 0.8284 0.4083  2 B 1.77-1.80, 2 Be 1.90-1.94
Be1 0.1665 0.1195 0.1994  4 B 1.90-2.02
Be2 0.8335 0.8805 0.8006  4 B 1.90-2.02
Be3 0.7359 0.4559 0.0961  3 B 1.94-2.09
Be4 0.2641 0.5441 0.9039  3 B 1.94-2.09

## Properties
* symmetry: P-1
* mass density: 3.928 g/cm³
* volume: 77 Å³/cell
* total magnetic moment: 0.0 Bohr magnetons per cell

---

Which of them is least stable? Easy: P.

---

P.
Be2CrB2 | GGA-PBE | relaxed

a b c (Å): 4.4280 3.9374 5.0552
angles (deg): 90.00 111.12 90.00
Closest atoms and distances in Å follow each position.
Atoms (fractional coordinates):
Cr1 0.5000 0.9363 0.0000  6 B 2.12-2.14
Cr2 0.0000 0.6608 0.5000  6 B 2.12-2.17, 2 Be 2.30
B1 0.7856 0.1615 0.3919  2 B 1.69-1.82, 1 Be 1.89
B2 0.2144 0.1615 0.6081  2 B 1.69-1.82, 1 Be 1.89
B3 0.3071 0.4367 0.8837  2 B 1.69
B4 0.6929 0.4367 0.1163  2 B 1.69
Be1 0.5000 0.8229 0.5000  2 B 2.04, 2 Be 2.27
Be2 0.8741 0.1875 0.7858  3 B 1.89-2.05, 1 Be 2.05
Be3 0.1259 0.1875 0.2142  3 B 1.89-2.05, 1 Be 2.05
Be4 0.0000 0.6960 0.0000  2 B 1.95

## Properties
* symmetry: P2
* mass density: 3.702 g/cm³
* volume: 82 Å³/cell
* total magnetic moment: 0.0 Bohr magnetons per cell

---

Q.
Be2CrB2 | GGA-PBE | relaxed

a b c (Å): 5.9961 5.8182 4.2466
angles (deg): 90.00 90.00 90.00
Closest atoms and distances in Å follow each position.
Atoms (fractional coordinates):
Cr1 0.0000 0.3405 0.2500  8 B 2.28-2.30, 8 Be 2.39-2.49
Cr2 0.0000 0.6595 0.7500  8 B 2.28-2.30, 8 Be 2.39-2.49
Cr3 0.5000 0.8405 0.2500  8 B 2.28-2.30, 8 Be 2.39-2.49
Cr4 0.5000 0.1595 0.7500  8 B 2.28-2.30, 8 Be 2.39-2.49
B1 0.3586 0.2046 0.2500  1 B 1.70
B2 0.3586 0.7954 0.7500  1 B 1.70
B3 0.6414 0.2046 0.2500  1 B 1.70
B4 0.6414 0.7954 0.7500  1 B 1.70
B5 0.8586 0.7046 0.2500  1 B 1.70
B6 0.8586 0.2954 0.7500  1 B 1.70
B7 0.1414 0.7046 0.2500  1 B 1.70
B8 0.1414 0.2954 0.7500  1 B 1.70
Be1 0.8217 0.0000 0.0000  4 B 1.93-2.03, 3 Be 2.12-2.14
Be2 0.1783 0.0000 0.5000  4 B 1.93-2.03, 3 Be 2.12-2.14
Be3 0.1783 0.0000 0.0000  4 B 1.93-2.03, 3 Be 2.12-2.14
Be4 0.8217 0.0000 0.5000  4 B 1.93-2.03, 3 Be 2.12-2.14
Be5 0.3217 0.5000 0.0000  4 B 1.93-2.03, 3 Be 2.12-2.14
Be6 0.6783 0.5000 0.5000  4 B 1.93-2.03, 3 Be 2.12-2.14
Be7 0.6783 0.5000 0.0000  4 B 1.93-2.03, 3 Be 2.12-2.14
Be8 0.3217 0.5000 0.5000  4 B 1.93-2.03, 3 Be 2.12-2.14

## Properties
* symmetry: Cmcm
* mass density: 4.109 g/cm³
* volume: 148 Å³/cell
* total magnetic moment: 0.0 Bohr magnetons per cell

---

Which of them is least stable? Easy: P.

---

P.
Be2CrB2 | GGA-PBE | relaxed

a b c (Å): 3.9676 2.8692 7.4268
angles (deg): 90.00 103.96 90.00
Closest atoms and distances in Å follow each position.
Atoms (fractional coordinates):
Cr1 0.1922 0.0000 0.8802  6 B 2.15-2.22
Cr2 0.1922 0.5000 0.3802  6 B 2.15-2.22
B1 0.0573 0.0000 0.5805  2 B 1.71, 1 Be 1.88
B2 0.0573 0.5000 0.0805  2 B 1.71, 1 Be 1.88
B3 0.2584 0.0000 0.1765  2 B 1.71
B4 0.2584 0.5000 0.6765  2 B 1.71
Be1 0.5772 0.0000 0.6369  4 B 1.98-2.05, 3 Be 2.15-2.19
Be2 0.5772 0.5000 0.1369  4 B 1.98-2.05, 3 Be 2.15-2.19
Be3 0.6890 0.0000 0.3671  2 B 1.88-1.94
Be4 0.6890 0.5000 0.8671  2 B 1.88-1.94

## Properties
* symmetry: Cm
* mass density: 3.709 g/cm³
* volume: 82 Å³/cell
* total magnetic moment: 0.0 Bohr magnetons per cell

---

Q.
Be2CrB2 | GGA-PBE | relaxed

a b c (Å): 3.0431 4.2028 6.0179
angles (deg): 90.00 90.00 90.00
Closest atoms and distances in Å follow each position.
Atoms (fractional coordinates):
Cr1 0.0000 0.5000 0.3204  6 B 2.12-2.20
Cr2 0.5000 0.0000 0.8204  6 B 2.12-2.20
B1 0.0000 0.2131 0.6267  1 B 1.79, 2 Be 1.94
B2 0.0000 0.7869 0.6267  1 B 1.79, 2 Be 1.94
B3 0.5000 0.7131 0.1267  1 B 1.79, 2 Be 1.94
B4 0.5000 0.2869 0.1267  1 B 1.79, 2 Be 1.94
Be1 0.0000 0.0000 0.1376  4 B 1.94
Be2 0.5000 0.5000 0.6376  4 B 1.94
Be3 0.0000 0.5000 0.9194  6 B 2.13-2.16, 2 Be 2.28
Be4 0.5000 0.0000 0.4194  6 B 2.13-2.16, 2 Be 2.28

## Properties
* symmetry: Imm2
* mass density: 3.954 g/cm³
* volume: 77 Å³/cell
* total magnetic moment: 0.0 Bohr magnetons per cell

---

Which of them is least stable? Easy: P.

---

P.
BeCr2B | GGA-PBE | relaxed

a b c (Å): 5.7586 5.7586 4.6880
angles (deg): 52.11 52.11 90.00
Closest atoms and distances in Å follow each position.
Atoms (fractional coordinates):
Cr1 0.6470 0.1250 0.2500  2 B 2.03, 2 Be 2.21
Cr2 0.1030 0.6250 0.2500  2 B 2.03, 2 Be 2.21
Cr3 0.3750 0.3530 0.7500  2 B 2.03, 2 Be 2.21
Cr4 0.8750 0.8970 0.7500  2 B 2.03, 2 Be 2.21
B1 0.0000 0.0000 0.0000  4 Cr 2.03
B2 0.7500 0.2500 0.5000  4 Cr 2.03
Be1 0.5000 0.5000 0.0000  4 Cr 2.21, 2 B 2.32
Be2 0.2500 0.7500 0.5000  4 Cr 2.21, 2 B 2.32

## Properties
* symmetry: I-42d
* mass density: 5.338 g/cm³
* volume: 77 Å³/cell
* total magnetic moment: 0.0 Bohr magnetons per cell

---

Q.
BeCr2B | GGA-PBE | relaxed

a b c (Å): 3.7105 3.7105 3.7105
angles (deg): 60.00 60.00 60.00
Closest atoms and distances in Å follow each position.
Atoms (fractional coordinates):
Cr1 0.2500 0.2500 0.2500  4 B 2.27, 4 Be 2.27
Cr2 0.7500 0.7500 0.7500  4 B 2.27, 4 Be 2.27
B1 0.5000 0.5000 0.5000  8 Cr 2.27
Be1 0.0000 0.0000 0.0000  8 Cr 2.27

## Properties
* symmetry: Fm-3m
* mass density: 5.692 g/cm³
* volume: 36 Å³/cell
* total magnetic moment: 0.0 Bohr magnetons per cell

---

Which of them is least stable? Easy: P.